The following is a SCAN calculation of a crystal of Co2TeAs relaxed with PBEsol, from the Alexandria database.

For the calculated volume, the calculation gives 17.02 A^3/atom. The calculation puts the density of states at the Fermi level at 10.74 states/eV/cell. The calculation puts the uncorrected formation energy at 145 meV/atom. For the total magnetic moment, the calculation gives 6.68 Bohr magnetons per cell. Its total energy is -22.867 eV/atom.

The structure belongs to space group R3m (No. 160, hexagonal axes); the cell edges are 3.7139, 3.7139 and 17.0935 Å and the angles 90.00°, 90.00° and 120.00°. The asymmetric unit holds Co at (0.0000, 0.0000, 0.0000), Co at (0.0000, 0.0000, 0.2913), Te at (0.0000, 0.0000, 0.7470) and As at (0.0000, 0.0000, 0.5675).

***

The following is a SCAN calculation of a crystal of Co2TeAs relaxed with PBEsol, from the Alexandria database.

For the calculated volume, the calculation gives 16.66 A^3/atom. The calculation puts the density of states at the Fermi level at 12.01 states/eV/cell. The calculation puts the uncorrected formation energy at 187 meV/atom. For the total magnetic moment, the calculation gives 6.66 Bohr magnetons per cell. Its total energy is -22.825 eV/atom.

The structure belongs to space group I-42d (No. 122); the cell edges are 4.3131, 4.3131 and 14.3326 Å and the angles 90.00°, 90.00° and 90.00°. The asymmetric unit holds Co at (0.2005, 0.2500, 0.1250), Te at (0.0000, 0.0000, 0.5000) and As at (0.0000, 0.0000, 0.0000).

***

The following is a SCAN calculation of a crystal of ThCo2As2 relaxed with PBEsol, from the Alexandria database.

For the calculated volume, the calculation gives 15.82 A^3/atom. The calculation puts the density of states at the Fermi level at 3.28 states/eV/cell. The calculation puts the formation energy at -0.79 eV/atom. For the total magnetic moment, the calculation gives 1.34 Bohr magnetons per cell. Its total energy is -34.975 eV/atom.

The structure belongs to space group P4/nmm (No. 129, origin choice 2); the cell edges are 4.1319, 4.1319 and 9.2637 Å and the angles 90.00°, 90.00° and 90.00°. The asymmetric unit holds Th at (0.2500, 0.2500, 0.2459), Co at (0.2500, 0.2500, 0.6153), Co at (0.2500, 0.7500, 0.0000), As at (0.2500, 0.2500, 0.8684) and As at (0.2500, 0.7500, 0.5000).

***

The following is a SCAN calculation of a crystal of TlCoAs2 relaxed with PBEsol, from the Alexandria database.

For the calculated volume, the calculation gives 17.66 A^3/atom. The calculation puts the density of states at the Fermi level at 4.48 states/eV/cell. The calculation puts the formation energy at 0.75 eV/atom. For the total magnetic moment, the calculation gives 0.00 Bohr magnetons per cell. Its total energy is -31.764 eV/atom.

The structure belongs to space group Fm-3m (No. 225); the cell edges are 6.5618, 6.5618 and 6.5618 Å and the angles 90.00°, 90.00° and 90.00°. The asymmetric unit holds Tl at (0.0000, 0.0000, 0.0000), Co at (0.0000, 0.0000, 0.5000) and As at (0.2500, 0.2500, 0.2500).

***

The following is a SCAN calculation of a crystal of Tl2CoAs relaxed with PBEsol, from the Alexandria database.

For the calculated volume, the calculation gives 20.27 A^3/atom. The calculation puts the density of states at the Fermi level at 1.74 states/eV/cell. The calculation puts the formation energy at 0.56 eV/atom. For the total magnetic moment, the calculation gives 2.01 Bohr magnetons per cell. Its total energy is -44.994 eV/atom.

The structure belongs to space group P2/m (No. 10); the cell edges are 4.1281, 3.9131 and 5.1791 Å and the angles 90.00°, 104.32° and 90.00°. The asymmetric unit holds Tl at (0.0000, 0.0000, 0.0000), Tl at (0.0000, 0.5000, 0.5000), Co at (0.5000, 0.0000, 0.5000) and As at (0.5000, 0.5000, 0.0000).

***

The following is a SCAN calculation of a crystal of TlCoAs2 relaxed with PBEsol, from the Alexandria database.

For the calculated volume, the calculation gives 18.97 A^3/atom. The calculation puts the density of states at the Fermi level at 3.96 states/eV/cell. The calculation puts the formation energy at 0.08 eV/atom. For the total magnetic moment, the calculation gives 0.00 Bohr magnetons per cell. Its total energy is -32.432 eV/atom.

The structure belongs to space group Imm2 (No. 44); the cell edges are 2.9311, 2.9641 and 17.4724 Å and the angles 90.00°, 90.00° and 90.00°. The asymmetric unit holds Tl at (0.0000, 0.0000, 0.0000), Co at (0.0000, 0.5000, 0.7630), As at (0.0000, 0.0000, 0.6587) and As at (0.0000, 0.5000, 0.3321).